Entry from Alexandria via LeMat-Bulk: a geometry-optimized EuBiRh4 structure (GGA-PBE).

density of states at the Fermi level	11.01	states/eV/f.u.
E	-45.00	eV/cell
symmetry	No. 216
crystal system	cubic
formation energy	-240	meV/atom

Cell: 5.382 5.382 5.382 Å, 60.00 60.00 60.00°
Fractional coordinates of all 6 atoms:
Eu 0.000 0.000 0.000
Bi 0.750 0.750 0.750
Rh 0.376 0.376 0.376
Rh 0.376 0.376 0.873
Rh 0.376 0.873 0.376
Rh 0.873 0.376 0.376

---

Entry from Alexandria via LeMat-Bulk: a geometry-optimized Eu3BiRu structure (GGA-PBE).

density of states at the Fermi level	12.50	states/eV/f.u.
E	-45.30	eV/cell
symmetry	No. 221
crystal system	cubic
formation energy	-264	meV/atom

Cell: 5.426 5.426 5.426 Å, 90.00 90.00 90.00°
Fractional coordinates of all 5 atoms:
Eu 0.000 0.000 0.500
Eu 0.000 0.500 0.000
Eu 0.500 0.000 0.000
Bi 0.500 0.500 0.500
Ru 0.000 0.000 0.000

---

Entry from Alexandria via LeMat-Bulk: a geometry-optimized Eu2BiS4 structure (GGA-PBE).

density of states at the Fermi level	26.84	states/eV/f.u.
E	-202.34	eV/cell
symmetry	No. 62
crystal system	orthorhombic
E_form (uncorrected)	-1.378	eV/atom

Cell: 11.631 4.062 14.669 Å, 90.00 90.00 90.00°
Fractional coordinates of all 28 atoms:
Eu 0.108 0.250 0.097
Eu 0.232 0.750 0.844
Eu 0.268 0.250 0.344
Eu 0.392 0.750 0.597
Eu 0.608 0.250 0.403
Eu 0.732 0.750 0.656
Eu 0.768 0.250 0.156
Eu 0.892 0.750 0.903
Bi 0.064 0.250 0.606
Bi 0.436 0.750 0.106
Bi 0.564 0.250 0.894
Bi 0.936 0.750 0.394
S 0.017 0.250 0.290
S 0.064 0.250 0.906
S 0.170 0.750 0.482
S 0.237 0.750 0.198
S 0.263 0.250 0.698
S 0.330 0.250 0.982
S 0.436 0.750 0.406
S 0.483 0.750 0.790
S 0.517 0.250 0.210
S 0.564 0.250 0.594
S 0.670 0.750 0.018
S 0.737 0.750 0.302
S 0.763 0.250 0.802
S 0.830 0.250 0.518
S 0.936 0.750 0.094
S 0.983 0.750 0.710

---

Entry from Alexandria via LeMat-Bulk: a geometry-optimized EuBiS2 structure (GGA-PBE).

density of states at the Fermi level	6.77	states/eV/f.u.
E	-78.88	eV/cell
symmetry	No. 166
crystal system	trigonal
E_form (uncorrected)	-0.971	eV/atom

Cell: 4.050 4.050 25.663 Å, 90.00 90.00 120.00°
Fractional coordinates of all 12 atoms:
Eu 0.000 0.000 0.000
Eu 0.333 0.667 0.667
Eu 0.667 0.333 0.333
Bi 0.000 0.000 0.500
Bi 0.333 0.667 0.167
Bi 0.667 0.333 0.833
S 0.000 0.000 0.395
S 0.000 0.000 0.605
S 0.333 0.667 0.061
S 0.333 0.667 0.272
S 0.667 0.333 0.728
S 0.667 0.333 0.939

---

Entry from Alexandria via LeMat-Bulk: a geometry-optimized EuBiSb structure (GGA-PBE).

density of states at the Fermi level	2.14	states/eV/f.u.
E	-19.60	eV/cell
symmetry	No. 156
crystal system	trigonal
E_form (uncorrected)	-0.440	eV/atom

Cell: 5.438 5.438 3.739 Å, 90.00 90.00 120.00°
Fractional coordinates of all 3 atoms:
Eu 0.000 0.000 0.000
Bi 0.333 0.667 0.501
Sb 0.667 0.333 0.497

---

Entry from Alexandria via LeMat-Bulk: a geometry-optimized EuBiSb structure (GGA-PBE).

density of states at the Fermi level	9.12	states/eV/f.u.
E	-39.43	eV/cell
symmetry	No. 107
crystal system	tetragonal
E_form (uncorrected)	-0.478	eV/atom

Cell: 4.315 4.315 10.271 Å, 90.00 90.00 90.00°
Fractional coordinates of all 6 atoms:
Eu 0.000 0.000 0.000
Eu 0.500 0.500 0.500
Bi 0.000 0.000 0.656
Bi 0.500 0.500 0.156
Sb 0.000 0.000 0.362
Sb 0.500 0.500 0.862

---

Entry from Alexandria via LeMat-Bulk: a geometry-optimized Eu3Bi5Sb12 structure (GGA-PBE).

density of states at the Fermi level	23.75	states/eV/f.u.
E	-402.64	eV/cell
symmetry	No. 230
crystal system	cubic
E_form (uncorrected)	-0.048	eV/atom

Cell: 15.797 15.797 15.797 Å, 109.47 109.47 109.47°
Fractional coordinates of all 80 atoms:
Eu 0.125 0.250 0.375
Eu 0.125 0.375 0.750
Eu 0.250 0.375 0.125
Eu 0.250 0.875 0.625
Eu 0.375 0.125 0.250
Eu 0.375 0.750 0.125
Eu 0.625 0.250 0.875
Eu 0.625 0.875 0.750
Eu 0.750 0.125 0.375
Eu 0.750 0.625 0.875
Eu 0.875 0.625 0.250
Eu 0.875 0.750 0.625
Bi 0.000 0.000 0.000
Bi 0.000 0.000 0.500
Bi 0.000 0.500 0.000
Bi 0.000 0.500 0.500
Bi 0.125 0.750 0.875
Bi 0.125 0.875 0.250
Bi 0.250 0.125 0.875
Bi 0.250 0.625 0.375
Bi 0.375 0.250 0.625
Bi 0.375 0.625 0.750
Bi 0.500 0.000 0.000
Bi 0.500 0.000 0.500
Bi 0.500 0.500 0.000
Bi 0.500 0.500 0.500
Bi 0.625 0.375 0.250
Bi 0.625 0.750 0.375
Bi 0.750 0.375 0.625
Bi 0.750 0.875 0.125
Bi 0.875 0.125 0.750
Bi 0.875 0.250 0.125
Sb 0.070 0.236 0.147
Sb 0.070 0.334 0.923
Sb 0.077 0.647 0.411
Sb 0.077 0.930 0.666
Sb 0.089 0.736 0.666
Sb 0.089 0.853 0.423
Sb 0.147 0.070 0.236
Sb 0.147 0.577 0.911
Sb 0.166 0.236 0.589
Sb 0.166 0.430 0.577
Sb 0.236 0.147 0.070
Sb 0.236 0.589 0.166
Sb 0.264 0.334 0.911
Sb 0.264 0.430 0.353
Sb 0.334 0.911 0.264
Sb 0.334 0.923 0.070
Sb 0.353 0.264 0.430
Sb 0.353 0.589 0.923
Sb 0.411 0.077 0.647
Sb 0.411 0.834 0.764
Sb 0.423 0.089 0.853
Sb 0.423 0.834 0.570
Sb 0.430 0.353 0.264
Sb 0.430 0.577 0.166
Sb 0.570 0.423 0.834
Sb 0.570 0.647 0.736
Sb 0.577 0.166 0.430
Sb 0.577 0.911 0.147
Sb 0.589 0.166 0.236
Sb 0.589 0.923 0.353
Sb 0.647 0.411 0.077
Sb 0.647 0.736 0.570
Sb 0.666 0.077 0.930
Sb 0.666 0.089 0.736
Sb 0.736 0.570 0.647
Sb 0.736 0.666 0.089
Sb 0.764 0.411 0.834
Sb 0.764 0.853 0.930
Sb 0.834 0.570 0.423
Sb 0.834 0.764 0.411
Sb 0.853 0.423 0.089
Sb 0.853 0.930 0.764
Sb 0.911 0.147 0.577
Sb 0.911 0.264 0.334
Sb 0.923 0.070 0.334
Sb 0.923 0.353 0.589
Sb 0.930 0.666 0.077
Sb 0.930 0.764 0.853

---

Entry from Alexandria via LeMat-Bulk: a geometry-optimized SrEuBiSb structure (GGA-PBE).

density of states at the Fermi level	7.97	states/eV/f.u.
E	-92.10	eV/cell
symmetry	No. 216
crystal system	cubic
E_form (uncorrected)	-0.766	eV/atom

Cell: 8.114 8.114 8.114 Å, 90.00 90.00 90.00°
Fractional coordinates of all 16 atoms:
Sr 0.000 0.000 0.000
Sr 0.000 0.500 0.500
Sr 0.500 0.000 0.500
Sr 0.500 0.500 0.000
Eu 0.000 0.000 0.500
Eu 0.000 0.500 0.000
Eu 0.500 0.000 0.000
Eu 0.500 0.500 0.500
Bi 0.250 0.250 0.750
Bi 0.250 0.750 0.250
Bi 0.750 0.250 0.250
Bi 0.750 0.750 0.750
Sb 0.250 0.250 0.250
Sb 0.250 0.750 0.750
Sb 0.750 0.250 0.750
Sb 0.750 0.750 0.250

---

Entry from Alexandria via LeMat-Bulk: a geometry-optimized EuThBiSb structure (GGA-PBE).

density of states at the Fermi level	3.37	states/eV/f.u.
E	-113.73	eV/cell
symmetry	No. 216
crystal system	cubic
E_form (uncorrected)	-0.684	eV/atom

Cell: 7.891 7.891 7.891 Å, 90.00 90.00 90.00°
Fractional coordinates of all 16 atoms:
Eu 0.000 0.000 0.000
Eu 0.000 0.500 0.500
Eu 0.500 0.000 0.500
Eu 0.500 0.500 0.000
Th 0.000 0.000 0.500
Th 0.000 0.500 0.000
Th 0.500 0.000 0.000
Th 0.500 0.500 0.500
Bi 0.250 0.250 0.250
Bi 0.250 0.750 0.750
Bi 0.750 0.250 0.750
Bi 0.750 0.750 0.250
Sb 0.250 0.250 0.750
Sb 0.250 0.750 0.250
Sb 0.750 0.250 0.250
Sb 0.750 0.750 0.750

---

Entry from Alexandria via LeMat-Bulk: a geometry-optimized EuTlBiSb structure (GGA-PBE).

density of states at the Fermi level	2.59	states/eV/f.u.
E	-87.69	eV/cell
symmetry	No. 216
crystal system	cubic
E_form (uncorrected)	-0.320	eV/atom

Cell: 7.916 7.916 7.916 Å, 90.00 90.00 90.00°
Fractional coordinates of all 16 atoms:
Eu 0.000 0.000 0.000
Eu 0.000 0.500 0.500
Eu 0.500 0.000 0.500
Eu 0.500 0.500 0.000
Tl 0.250 0.250 0.250
Tl 0.250 0.750 0.750
Tl 0.750 0.250 0.750
Tl 0.750 0.750 0.250
Bi 0.000 0.000 0.500
Bi 0.000 0.500 0.000
Bi 0.500 0.000 0.000
Bi 0.500 0.500 0.500
Sb 0.250 0.250 0.750
Sb 0.250 0.750 0.250
Sb 0.750 0.250 0.250
Sb 0.750 0.750 0.750